# 1
A crystal of Zr3Rh5 relaxed with PBEsol, computed with meta-GGA SCAN.

Unit cell a=5.533 b=5.533 c=4.246 alpha=90.00 beta=90.00 gamma=99.32
Element x y z (fractional)
Zr 0.000 0.000 0.000
Zr 0.293 0.707 0.500
Zr 0.707 0.293 0.500
Rh 0.000 0.500 0.000
Rh 0.215 0.215 0.500
Rh 0.500 0.000 0.000
Rh 0.500 0.500 0.000
Rh 0.785 0.785 0.500

## Properties
E_tot: -268.337 eV for the cell shown
symmetry: Cmmm
mass density: 10.20 g/cm³
crystal system: orthorhombic
formation energy from the elements: -21.282 kcal/mol of atoms
density of states at the Fermi level: 3.70 states/eV/f.u.

---

# 2
A crystal of Zr4Rh5 relaxed with PBEsol, computed with meta-GGA SCAN.

Unit cell a=6.470 b=6.470 c=6.470 alpha=95.44 beta=95.44 gamma=144.14
Element x y z (fractional)
Zr 0.000 0.299 0.299
Zr 0.000 0.701 0.701
Zr 0.299 0.000 0.299
Zr 0.701 0.000 0.701
Rh 0.000 0.000 0.000
Rh 0.336 0.336 0.671
Rh 0.336 0.664 0.000
Rh 0.664 0.336 0.000
Rh 0.664 0.664 0.329

## Properties
E_tot: -299.196 eV for the cell shown
symmetry: I4/mmm
mass density: 9.67 g/cm³
crystal system: tetragonal
formation energy from the elements: -19.329 kcal/mol of atoms
density of states at the Fermi level: 5.97 states/eV/f.u.

---

# 3
A crystal of ZrRh4 relaxed with PBEsol, computed with meta-GGA SCAN.

Unit cell a=4.751 b=4.751 c=4.751 alpha=99.83 beta=99.83 gamma=131.20
Element x y z (fractional)
Zr 0.000 0.000 0.000
Rh 0.193 0.400 0.593
Rh 0.400 0.807 0.208
Rh 0.600 0.193 0.792
Rh 0.807 0.600 0.407

## Properties
E_tot: -168.364 eV for the cell shown
symmetry: I4/m
mass density: 11.36 g/cm³
crystal system: tetragonal
formation energy from the elements: -11.898 kcal/mol of atoms
density of states at the Fermi level: 3.70 states/eV/f.u.

---

# 4
A crystal of RuS2 relaxed with PBEsol, computed with meta-GGA SCAN.

Unit cell a=5.574 b=5.574 c=5.574 alpha=90.00 beta=90.00 gamma=90.00
Element x y z (fractional)
Ru 0.000 0.000 0.000
Ru 0.000 0.500 0.500
Ru 0.500 0.000 0.500
Ru 0.500 0.500 0.000
S 0.114 0.614 0.886
S 0.114 0.886 0.386
S 0.386 0.114 0.886
S 0.386 0.386 0.386
S 0.614 0.614 0.614
S 0.614 0.886 0.114
S 0.886 0.114 0.614
S 0.886 0.386 0.114

## Properties
E_tot: -224.634 eV for the cell shown
symmetry: Pa-3
mass density: 6.34 g/cm³
crystal system: cubic
ΔE_f (raw): -0.6921 eV per atom

---

# 5
A crystal of SbRuS2 relaxed with PBEsol, computed with meta-GGA SCAN.

Unit cell a=5.725 b=5.725 c=5.725 alpha=106.25 beta=106.25 gamma=116.12
Element x y z (fractional)
Sb 0.000 0.000 0.000
Sb 0.750 0.250 0.500
Ru 0.250 0.750 0.500
Ru 0.500 0.500 0.000
S 0.191 0.625 0.066
S 0.375 0.441 0.566
S 0.559 0.125 0.934
S 0.875 0.809 0.434

## Properties
E_tot: -182.308 eV for the cell shown
symmetry: I-42d
mass density: 6.67 g/cm³
crystal system: tetragonal
density of states at the Fermi level: 2.23 states/eV/f.u.
ΔE_f (raw): 0.0473 eV per atom

---

# 6
A crystal of SbRuS2 relaxed with PBEsol, computed with meta-GGA SCAN.

Unit cell a=8.027 b=8.027 c=8.027 alpha=24.98 beta=24.98 gamma=24.98
Element x y z (fractional)
Sb 0.000 0.000 0.000
Ru 0.500 0.500 0.500
S 0.115 0.115 0.115
S 0.885 0.885 0.885

## Properties
E_tot: -92.249 eV for the cell shown
symmetry: R-3m
mass density: 5.87 g/cm³
crystal system: trigonal
density of states at the Fermi level: 2.88 states/eV/f.u.
ΔE_f (raw): -0.2264 eV per atom

---

# 7
A crystal of Sc2RuS relaxed with PBEsol, computed with meta-GGA SCAN.

Unit cell a=8.625 b=8.625 c=8.625 alpha=22.19 beta=22.19 gamma=22.19
Element x y z (fractional)
Sc 0.095 0.095 0.095
Sc 0.905 0.905 0.905
Ru 0.500 0.500 0.500
S 0.000 0.000 0.000

## Properties
E_tot: -74.620 eV for the cell shown
symmetry: R-3m
mass density: 4.62 g/cm³
crystal system: trigonal
density of states at the Fermi level: 3.54 states/eV/f.u.
ΔE_f (raw): -0.4228 eV per atom

---

# 8
A crystal of RuSeS relaxed with PBEsol, computed with meta-GGA SCAN.

Unit cell a=5.746 b=5.746 c=5.746 alpha=90.00 beta=90.00 gamma=90.00
Element x y z (fractional)
Ru 0.009 0.009 0.009
Ru 0.491 0.991 0.509
Ru 0.509 0.491 0.991
Ru 0.991 0.509 0.491
Se 0.120 0.620 0.880
Se 0.380 0.380 0.380
Se 0.620 0.880 0.120
Se 0.880 0.120 0.620
S 0.117 0.883 0.383
S 0.383 0.117 0.883
S 0.617 0.617 0.617
S 0.883 0.383 0.117

## Properties
E_tot: -265.175 eV for the cell shown
symmetry: P2_13
mass density: 7.43 g/cm³
crystal system: cubic
ΔE_f (raw): -0.5870 eV per atom

---

# 9
A crystal of SiRu3S relaxed with PBEsol, computed with meta-GGA SCAN.

Unit cell a=4.252 b=4.252 c=4.252 alpha=90.00 beta=90.00 gamma=90.00
Element x y z (fractional)
Si 0.000 0.000 0.000
Ru 0.000 0.500 0.500
Ru 0.500 0.000 0.500
Ru 0.500 0.500 0.000
S 0.500 0.500 0.500

## Properties
E_tot: -120.472 eV for the cell shown
symmetry: Pm-3m
mass density: 7.85 g/cm³
crystal system: cubic
density of states at the Fermi level: 4.74 states/eV/f.u.
ΔE_f (raw): 0.7301 eV per atom

---

# 10
A crystal of Sn3RuS relaxed with PBEsol, computed with meta-GGA SCAN.

Unit cell a=4.994 b=4.994 c=4.994 alpha=90.00 beta=90.00 gamma=90.00
Element x y z (fractional)
Sn 0.000 0.000 0.500
Sn 0.000 0.500 0.000
Sn 0.500 0.000 0.000
Ru 0.000 0.000 0.000
S 0.500 0.500 0.500

## Properties
E_tot: -152.651 eV for the cell shown
symmetry: Pm-3m
mass density: 6.52 g/cm³
crystal system: cubic
ΔE_f (raw): -0.0867 eV per atom

---

# 11
A crystal of SrRuS2 relaxed with PBEsol, computed with meta-GGA SCAN.

Unit cell a=7.965 b=7.965 c=7.965 alpha=27.12 beta=27.12 gamma=27.12
Element x y z (fractional)
Sr 0.000 0.000 0.000
Ru 0.500 0.500 0.500
S 0.122 0.122 0.122
S 0.878 0.878 0.878

## Properties
E_tot: -78.130 eV for the cell shown
symmetry: R-3m
mass density: 4.53 g/cm³
crystal system: trigonal
density of states at the Fermi level: 3.60 states/eV/f.u.
ΔE_f (raw): -0.4431 eV per atom

---

# 12
A crystal of TeRuS3 relaxed with PBEsol, computed with meta-GGA SCAN.

Unit cell a=4.920 b=4.920 c=4.920 alpha=90.00 beta=90.00 gamma=90.00
Element x y z (fractional)
Te 0.000 0.000 0.000
Ru 0.500 0.500 0.500
S 0.000 0.000 0.500
S 0.000 0.500 0.000
S 0.500 0.000 0.000

## Properties
E_tot: -95.091 eV for the cell shown
symmetry: Pm-3m
mass density: 4.53 g/cm³
crystal system: cubic
density of states at the Fermi level: 3.80 states/eV/f.u.
ΔE_f (raw): 1.1742 eV per atom

---

# 13
A crystal of TiRu3S relaxed with PBEsol, computed with meta-GGA SCAN.

Unit cell a=4.439 b=4.439 c=4.439 alpha=90.00 beta=90.00 gamma=90.00
Element x y z (fractional)
Ti 0.000 0.000 0.000
Ru 0.000 0.000 0.500
Ru 0.000 0.500 0.000
Ru 0.500 0.000 0.000
S 0.500 0.500 0.500

## Properties
E_tot: -121.882 eV for the cell shown
symmetry: Pm-3m
mass density: 7.27 g/cm³
crystal system: cubic
density of states at the Fermi level: 7.43 states/eV/f.u.
ΔE_f (raw): 1.6509 eV per atom

---

# 14
A crystal of TlRu2S2 relaxed with PBEsol, computed with meta-GGA SCAN.

Unit cell a=5.765 b=5.765 c=5.765 alpha=137.82 beta=137.82 gamma=61.17
Element x y z (fractional)
Tl 0.000 0.000 0.000
Ru 0.355 0.355 0.000
Ru 0.645 0.645 0.000
S 0.250 0.750 0.500
S 0.750 0.250 0.500

## Properties
E_tot: -160.414 eV for the cell shown
symmetry: I4/mmm
mass density: 9.15 g/cm³
crystal system: tetragonal
density of states at the Fermi level: 2.54 states/eV/f.u.
ΔE_f (raw): 0.1706 eV per atom

---

# 15
A crystal of TlZnRu2S relaxed with PBEsol, computed with meta-GGA SCAN.

Unit cell a=4.623 b=4.623 c=4.790 alpha=90.00 beta=90.00 gamma=90.00
Element x y z (fractional)
Tl 0.000 0.000 0.000
Zn 0.000 0.000 0.500
Ru 0.000 0.500 0.500
Ru 0.500 0.000 0.500
S 0.500 0.500 0.000

## Properties
E_tot: -157.894 eV for the cell shown
symmetry: P4/mmm
mass density: 8.17 g/cm³
crystal system: tetragonal
density of states at the Fermi level: 4.19 states/eV/f.u.
ΔE_f (raw): 1.4521 eV per atom

---

# 16
A crystal of RuWS3 relaxed with PBEsol, computed with meta-GGA SCAN.

Unit cell a=4.598 b=4.598 c=4.598 alpha=90.00 beta=90.00 gamma=90.00
Element x y z (fractional)
Ru 0.000 0.000 0.000
W 0.500 0.500 0.500
S 0.000 0.500 0.500
S 0.500 0.000 0.500
S 0.500 0.500 0.000

## Properties
E_tot: -129.834 eV for the cell shown
symmetry: Pm-3m
mass density: 6.51 g/cm³
crystal system: cubic
density of states at the Fermi level: 2.67 states/eV/f.u.
ΔE_f (raw): 0.7129 eV per atom

---

# 17
A crystal of YRuS2 relaxed with PBEsol, computed with meta-GGA SCAN.

Unit cell a=4.485 b=4.485 c=4.485 alpha=60.00 beta=60.00 gamma=60.00
Element x y z (fractional)
Y 0.000 0.000 0.000
Ru 0.500 0.500 0.500
S 0.250 0.250 0.250
S 0.750 0.750 0.750

## Properties
E_tot: -85.053 eV for the cell shown
symmetry: Fm-3m
mass density: 6.61 g/cm³
crystal system: cubic
density of states at the Fermi level: 3.33 states/eV/f.u.
ΔE_f (raw): -0.7819 eV per atom

---

# 18
A crystal of Y3RuS relaxed with PBEsol, computed with meta-GGA SCAN.

Unit cell a=5.203 b=5.203 c=5.203 alpha=90.00 beta=90.00 gamma=90.00
Element x y z (fractional)
Y 0.000 0.000 0.500
Y 0.000 0.500 0.000
Y 0.500 0.000 0.000
Ru 0.000 0.000 0.000
S 0.500 0.500 0.500

## Properties
E_tot: -129.456 eV for the cell shown
symmetry: Pm-3m
mass density: 4.71 g/cm³
crystal system: cubic
density of states at the Fermi level: 4.98 states/eV/f.u.
ΔE_f (raw): -0.2945 eV per atom

---

# 19
A crystal of Y2RuS relaxed with PBEsol, computed with meta-GGA SCAN.

Unit cell a=4.787 b=4.787 c=4.787 alpha=60.00 beta=60.00 gamma=60.00
Element x y z (fractional)
Y 0.250 0.250 0.250
Y 0.750 0.750 0.750
Ru 0.000 0.000 0.000
S 0.500 0.500 0.500

## Properties
E_tot: -103.154 eV for the cell shown
symmetry: Fm-3m
mass density: 6.66 g/cm³
crystal system: cubic
density of states at the Fermi level: 0.38 states/eV/f.u.
ΔE_f (raw): -0.7534 eV per atom

---

# 20
A crystal of Zr3RuS relaxed with PBEsol, computed with meta-GGA SCAN.

Unit cell a=4.918 b=4.918 c=4.918 alpha=90.00 beta=90.00 gamma=90.00
Element x y z (fractional)
Zr 0.000 0.000 0.500
Zr 0.000 0.500 0.000
Zr 0.500 0.000 0.000
Ru 0.000 0.000 0.000
S 0.500 0.500 0.500

## Properties
E_tot: -135.679 eV for the cell shown
symmetry: Pm-3m
mass density: 5.68 g/cm³
crystal system: cubic
density of states at the Fermi level: 4.28 states/eV/f.u.
ΔE_f (raw): 0.1744 eV per atom